Zn2IrCl | Alexandria via LeMat-Bulk | PBE | optimized geometry; formation energy (no corrections) = 0.3408 eV per atom; energy above the most stable polymorph in this dataset = 0.606 eV/atom; SG = Immm, No. 71; total moment = 0.000 μB/atom
1.0
5.4809 0.1892 0.0226
2.6845 4.7821 -0.0226
-3.5537 -3.3545 2.4889
Cl Ir Zn
1 1 2
Direct
0.7500 0.2500 0.5000
0.2500 0.7500 0.5000
0.0230 0.0230 0.0000
0.4770 0.4770 0.0000